No. 1
A plane-wave DFT calculation with PBE was carried out for crystalline Sm3Si6N11 at its relaxed geometry.

```
data_Sm3Si6N11
_cell_length_a 10.001
_cell_length_b 10.001
_cell_length_c 4.850
_cell_angle_alpha 90.00
_cell_angle_beta 90.00
_cell_angle_gamma 90.00
_symmetry_space_group_name_H-M 'P 1'
_symmetry_Int_Tables_number 1
loop_
_symmetry_equiv_pos_as_xyz
'x,y,z'
loop_
_atom_site_label
_atom_site_type_symbol
_atom_site_fract_x
_atom_site_fract_y
_atom_site_fract_z
_atom_site_occupancy
Sm1 Sm 0.000 0.000 0.000 1
Sm2 Sm 0.182 0.318 0.019 1
Sm3 Sm 0.318 0.818 0.019 1
Sm4 Sm 0.500 0.500 0.000 1
Sm5 Sm 0.682 0.182 0.019 1
Sm6 Sm 0.818 0.682 0.019 1
Si1 Si 0.079 0.791 0.550 1
Si2 Si 0.118 0.618 0.061 1
Si3 Si 0.209 0.079 0.550 1
Si4 Si 0.291 0.579 0.550 1
Si5 Si 0.382 0.118 0.061 1
Si6 Si 0.421 0.291 0.550 1
Si7 Si 0.579 0.709 0.550 1
Si8 Si 0.618 0.882 0.061 1
Si9 Si 0.709 0.421 0.550 1
Si10 Si 0.791 0.921 0.550 1
Si11 Si 0.882 0.382 0.061 1
Si12 Si 0.921 0.209 0.550 1
N1 N 0.000 0.500 0.098 1
N2 N 0.077 0.774 0.195 1
N3 N 0.080 0.181 0.667 1
N4 N 0.151 0.651 0.712 1
N5 N 0.181 0.920 0.667 1
N6 N 0.226 0.077 0.195 1
N7 N 0.274 0.577 0.195 1
N8 N 0.319 0.420 0.667 1
N9 N 0.349 0.151 0.712 1
N10 N 0.420 0.681 0.667 1
N11 N 0.423 0.274 0.195 1
N12 N 0.500 0.000 0.098 1
N13 N 0.577 0.726 0.195 1
N14 N 0.580 0.319 0.667 1
N15 N 0.651 0.849 0.712 1
N16 N 0.681 0.580 0.667 1
N17 N 0.726 0.423 0.195 1
N18 N 0.774 0.923 0.195 1
N19 N 0.819 0.080 0.667 1
N20 N 0.849 0.349 0.712 1
N21 N 0.920 0.819 0.667 1
N22 N 0.923 0.226 0.195 1
```

Summary:
Space-group type ... P4bm (100)
Final energy ... -8.223 eV per atom

No. 2
A plane-wave DFT calculation with PBE was carried out for crystalline SiSnW4N2 at its relaxed geometry.

```
data_SiSnW4N2
_cell_length_a 3.009
_cell_length_b 3.009
_cell_length_c 13.787
_cell_angle_alpha 90.00
_cell_angle_beta 90.00
_cell_angle_gamma 120.00
_symmetry_space_group_name_H-M 'P 1'
_symmetry_Int_Tables_number 1
loop_
_symmetry_equiv_pos_as_xyz
'x,y,z'
loop_
_atom_site_label
_atom_site_type_symbol
_atom_site_fract_x
_atom_site_fract_y
_atom_site_fract_z
_atom_site_occupancy
Si1 Si 0.000 0.000 0.000 1
Sn1 Sn 0.333 0.667 0.500 1
W1 W 0.000 0.000 0.329 1
W2 W 0.000 0.000 0.671 1
W3 W 0.333 0.667 0.136 1
W4 W 0.333 0.667 0.864 1
N1 N 0.667 0.333 0.236 1
N2 N 0.667 0.333 0.764 1
```

Summary:
Space-group type ... P-6m2 (187)
Final energy ... -9.443 eV per atom

No. 3
A plane-wave DFT calculation with PBE was carried out for crystalline Zr4SiSnN2 at its relaxed geometry.

```
data_Zr4SiSnN2
_cell_length_a 3.288
_cell_length_b 3.288
_cell_length_c 14.092
_cell_angle_alpha 90.00
_cell_angle_beta 90.00
_cell_angle_gamma 120.00
_symmetry_space_group_name_H-M 'P 1'
_symmetry_Int_Tables_number 1
loop_
_symmetry_equiv_pos_as_xyz
'x,y,z'
loop_
_atom_site_label
_atom_site_type_symbol
_atom_site_fract_x
_atom_site_fract_y
_atom_site_fract_z
_atom_site_occupancy
Zr1 Zr 0.000 0.000 0.148 1
Zr2 Zr 0.000 0.000 0.852 1
Zr3 Zr 0.667 0.333 0.329 1
Zr4 Zr 0.667 0.333 0.671 1
Si1 Si 0.667 0.333 0.000 1
Sn1 Sn 0.000 0.000 0.500 1
N1 N 0.333 0.667 0.238 1
N2 N 0.333 0.667 0.762 1
```

Summary:
Space-group type ... P-6m2 (187)
Final energy ... -8.649 eV per atom

No. 4
A plane-wave DFT calculation with PBE was carried out for crystalline Ta4SiN3 at its relaxed geometry.

```
data_Ta4SiN3
_cell_length_a 3.128
_cell_length_b 3.128
_cell_length_c 22.850
_cell_angle_alpha 90.00
_cell_angle_beta 90.00
_cell_angle_gamma 120.00
_symmetry_space_group_name_H-M 'P 1'
_symmetry_Int_Tables_number 1
loop_
_symmetry_equiv_pos_as_xyz
'x,y,z'
loop_
_atom_site_label
_atom_site_type_symbol
_atom_site_fract_x
_atom_site_fract_y
_atom_site_fract_z
_atom_site_occupancy
Ta1 Ta 0.000 0.000 0.167 1
Ta2 Ta 0.000 0.000 0.333 1
Ta3 Ta 0.000 0.000 0.667 1
Ta4 Ta 0.000 0.000 0.833 1
Ta5 Ta 0.333 0.667 0.055 1
Ta6 Ta 0.333 0.667 0.445 1
Ta7 Ta 0.667 0.333 0.555 1
Ta8 Ta 0.667 0.333 0.945 1
Si1 Si 0.333 0.667 0.250 1
Si2 Si 0.667 0.333 0.750 1
N1 N 0.000 0.000 0.000 1
N2 N 0.000 0.000 0.500 1
N3 N 0.333 0.667 0.611 1
N4 N 0.333 0.667 0.889 1
N5 N 0.667 0.333 0.111 1
N6 N 0.667 0.333 0.389 1
```

Summary:
Space-group type ... P6_3/mmc (194)
Final energy ... -10.420 eV per atom

No. 5
A plane-wave DFT calculation with PBE was carried out for crystalline Ta3SiN2 at its relaxed geometry.

```
data_Ta3SiN2
_cell_length_a 3.162
_cell_length_b 3.162
_cell_length_c 17.450
_cell_angle_alpha 90.00
_cell_angle_beta 90.00
_cell_angle_gamma 120.00
_symmetry_space_group_name_H-M 'P 1'
_symmetry_Int_Tables_number 1
loop_
_symmetry_equiv_pos_as_xyz
'x,y,z'
loop_
_atom_site_label
_atom_site_type_symbol
_atom_site_fract_x
_atom_site_fract_y
_atom_site_fract_z
_atom_site_occupancy
Ta1 Ta 0.000 0.000 0.000 1
Ta2 Ta 0.000 0.000 0.500 1
Ta3 Ta 0.333 0.667 0.142 1
Ta4 Ta 0.333 0.667 0.358 1
Ta5 Ta 0.667 0.333 0.642 1
Ta6 Ta 0.667 0.333 0.858 1
Si1 Si 0.000 0.000 0.250 1
Si2 Si 0.000 0.000 0.750 1
N1 N 0.333 0.667 0.571 1
N2 N 0.333 0.667 0.929 1
N3 N 0.667 0.333 0.071 1
N4 N 0.667 0.333 0.429 1
```

Summary:
Space-group type ... P6_3/mmc (194)
Final energy ... -10.248 eV per atom

No. 6
A plane-wave DFT calculation with PBE was carried out for crystalline Ta4Si3W2N3 at its relaxed geometry.

```
data_Ta4Si3W2N3
_cell_length_a 5.385
_cell_length_b 5.385
_cell_length_c 13.147
_cell_angle_alpha 102.12
_cell_angle_beta 102.12
_cell_angle_gamma 59.06
_symmetry_space_group_name_H-M 'P 1'
_symmetry_Int_Tables_number 1
loop_
_symmetry_equiv_pos_as_xyz
'x,y,z'
loop_
_atom_site_label
_atom_site_type_symbol
_atom_site_fract_x
_atom_site_fract_y
_atom_site_fract_z
_atom_site_occupancy
Ta1 Ta 0.024 0.200 0.090 1
Ta2 Ta 0.138 0.308 0.409 1
Ta3 Ta 0.200 0.024 0.590 1
Ta4 Ta 0.308 0.138 0.909 1
Ta5 Ta 0.692 0.862 0.091 1
Ta6 Ta 0.800 0.976 0.410 1
Ta7 Ta 0.862 0.692 0.591 1
Ta8 Ta 0.976 0.800 0.910 1
Si1 Si 0.057 0.943 0.250 1
Si2 Si 0.226 0.415 0.751 1
Si3 Si 0.415 0.226 0.251 1
Si4 Si 0.585 0.774 0.749 1
Si5 Si 0.774 0.585 0.249 1
Si6 Si 0.943 0.057 0.750 1
W1 W 0.378 0.531 0.122 1
W2 W 0.469 0.622 0.378 1
W3 W 0.531 0.378 0.622 1
W4 W 0.622 0.469 0.878 1
N1 N 0.000 0.500 0.000 1
N2 N 0.198 0.652 0.499 1
N3 N 0.348 0.802 0.001 1
N4 N 0.500 0.000 0.500 1
N5 N 0.652 0.198 0.999 1
N6 N 0.802 0.348 0.501 1
```

Summary:
Space-group type ... C2/c (15)
Final energy ... -9.886 eV per atom

No. 7
A plane-wave DFT calculation with PBE was carried out for crystalline Y4Ta2Si3N3 at its relaxed geometry.

```
data_Y4Ta2Si3N3
_cell_length_a 5.827
_cell_length_b 5.827
_cell_length_c 13.908
_cell_angle_alpha 102.20
_cell_angle_beta 102.20
_cell_angle_gamma 60.24
_symmetry_space_group_name_H-M 'P 1'
_symmetry_Int_Tables_number 1
loop_
_symmetry_equiv_pos_as_xyz
'x,y,z'
loop_
_atom_site_label
_atom_site_type_symbol
_atom_site_fract_x
_atom_site_fract_y
_atom_site_fract_z
_atom_site_occupancy
Y1 Y 0.040 0.197 0.105 1
Y2 Y 0.124 0.300 0.395 1
Y3 Y 0.197 0.040 0.605 1
Y4 Y 0.300 0.124 0.895 1
Y5 Y 0.700 0.876 0.105 1
Y6 Y 0.803 0.960 0.395 1
Y7 Y 0.876 0.700 0.605 1
Y8 Y 0.960 0.803 0.895 1
Ta1 Ta 0.351 0.527 0.079 1
Ta2 Ta 0.473 0.649 0.421 1
Ta3 Ta 0.527 0.351 0.579 1
Ta4 Ta 0.649 0.473 0.921 1
Si1 Si 0.171 0.829 0.250 1
Si2 Si 0.341 0.413 0.752 1
Si3 Si 0.413 0.341 0.252 1
Si4 Si 0.587 0.659 0.748 1
Si5 Si 0.659 0.587 0.248 1
Si6 Si 0.829 0.171 0.750 1
N1 N 0.000 0.500 0.000 1
N2 N 0.185 0.658 0.500 1
N3 N 0.342 0.815 0.000 1
N4 N 0.500 0.000 0.500 1
N5 N 0.658 0.185 0.000 1
N6 N 0.815 0.342 0.500 1
```

Summary:
Space-group type ... C2/c (15)
Final energy ... -8.586 eV per atom

No. 8
A plane-wave DFT calculation with PBE was carried out for crystalline Y2Ta4Si3N3 at its relaxed geometry.

```
data_Y2Ta4Si3N3
_cell_length_a 5.524
_cell_length_b 5.524
_cell_length_c 13.718
_cell_angle_alpha 102.49
_cell_angle_beta 102.49
_cell_angle_gamma 60.08
_symmetry_space_group_name_H-M 'P 1'
_symmetry_Int_Tables_number 1
loop_
_symmetry_equiv_pos_as_xyz
'x,y,z'
loop_
_atom_site_label
_atom_site_type_symbol
_atom_site_fract_x
_atom_site_fract_y
_atom_site_fract_z
_atom_site_occupancy
Y1 Y 0.043 0.880 0.619 1
Y2 Y 0.120 0.957 0.881 1
Y3 Y 0.880 0.043 0.119 1
Y4 Y 0.957 0.120 0.381 1
Ta1 Ta 0.197 0.360 0.083 1
Ta2 Ta 0.300 0.472 0.416 1
Ta3 Ta 0.360 0.197 0.583 1
Ta4 Ta 0.472 0.300 0.916 1
Ta5 Ta 0.528 0.700 0.084 1
Ta6 Ta 0.640 0.803 0.417 1
Ta7 Ta 0.700 0.528 0.584 1
Ta8 Ta 0.803 0.640 0.917 1
Si1 Si 0.085 0.402 0.750 1
Si2 Si 0.402 0.085 0.250 1
Si3 Si 0.425 0.575 0.250 1
Si4 Si 0.575 0.425 0.750 1
Si5 Si 0.598 0.915 0.750 1
Si6 Si 0.915 0.598 0.250 1
N1 N 0.000 0.500 0.500 1
N2 N 0.164 0.674 0.000 1
N3 N 0.326 0.836 0.500 1
N4 N 0.500 0.000 0.000 1
N5 N 0.674 0.164 0.500 1
N6 N 0.836 0.326 0.000 1
```

Summary:
Space-group type ... C2/c (15)
Final energy ... -9.299 eV per atom

- Which value of final energy does entry 7 give?
  -8.586 eV per atom